Tl2AgGe: relaxed, GGA-PBE.

Structure (extended XYZ):
```
4
Lattice="0.000 3.670 3.670 3.670 0.000 3.670 3.670 3.670 0.000" Properties=species:S:1:pos:R:3 pbc="T T T"
Tl 0.000 0.000 0.000
Tl 1.835 1.835 1.835
Ag 5.505 5.505 5.505
Ge 3.670 3.670 3.670
```

Output
uncorrected energy: -0.2048 Ry per atom